# 1
# TbTl3Ge2Te6, relaxed, DFT PBE-GGA
# - Crystal system: monoclinic
# - Formation energy from raw total energies: -38.8 kJ/mol of atoms
data_TbTl3Ge2Te6
_chemical_formula_sum 'Tb2 Tl6 Ge4 Te12'
_symmetry_space_group_name_H-M 'C 1 2/m 1'
_symmetry_Int_Tables_number 12
_symmetry_space_group_name_Hall '-C 2y'
_cell_length_a 7.699
_cell_length_b 13.291
_cell_length_c 7.987
_cell_angle_alpha 90.00
_cell_angle_beta 108.48
_cell_angle_gamma 90.00
loop_
_atom_site_label
_atom_site_type_symbol
_atom_site_fract_x
_atom_site_fract_y
_atom_site_fract_z
Tb1 Tb 0.000 0.000 0.000
Tl1 Tl 0.000 0.162 0.500
Tl2 Tl 0.000 0.500 0.500
Ge1 Ge 0.000 0.332 0.000
Te1 Te 0.229 0.500 0.213
Te2 Te 0.241 0.171 0.214

---

# 2
# Tb8TlGe3Te4, relaxed, DFT PBE-GGA
# - Crystal system: trigonal
# - Formation energy from raw total energies: -104.3 kJ/mol of atoms
data_Tb8TlGe3Te4
_chemical_formula_sum 'Tb24 Tl3 Ge9 Te12'
_symmetry_space_group_name_H-M 'R -3 m'
_symmetry_Int_Tables_number 166
_symmetry_space_group_name_Hall '-R 3 2"'
_cell_length_a 8.5564
_cell_length_b 8.5564
_cell_length_c 21.5595
_cell_angle_alpha 90.00
_cell_angle_beta 90.00
_cell_angle_gamma 120.00
loop_
_atom_site_label
_atom_site_type_symbol
_atom_site_fract_x
_atom_site_fract_y
_atom_site_fract_z
Tb1 Tb 0.0000 0.0000 0.2393
Tb2 Tb 0.0108 0.5054 0.7565
Tl1 Tl 0.0000 0.0000 0.5000
Ge1 Ge 0.0000 0.5000 0.5000
Te1 Te 0.0000 0.0000 0.0000
Te2 Te 0.0000 0.5000 0.0000

---

# 3
# Tb6TlGe2Te3, relaxed, DFT PBE-GGA
# - Crystal system: monoclinic
# - Formation energy from raw total energies: -101.7 kJ/mol of atoms
data_Tb6TlGe2Te3
_chemical_formula_sum 'Tb12 Tl2 Ge4 Te6'
_symmetry_space_group_name_H-M 'C 1 2/m 1'
_symmetry_Int_Tables_number 12
_symmetry_space_group_name_Hall '-C 2y'
_cell_length_a 18.973
_cell_length_b 4.266
_cell_length_c 8.788
_cell_angle_alpha 90.00
_cell_angle_beta 104.63
_cell_angle_gamma 90.00
loop_
_atom_site_label
_atom_site_type_symbol
_atom_site_fract_x
_atom_site_fract_y
_atom_site_fract_z
Tb1 Tb 0.008 0.000 0.256
Tb2 Tb 0.168 0.500 0.105
Tb3 Tb 0.174 0.500 0.566
Tl1 Tl 0.000 0.500 0.000
Ge1 Ge 0.167 0.000 0.333
Te1 Te 0.000 0.500 0.500
Te2 Te 0.165 0.000 0.831

---

# 4
# Tb3Tl4GeTe8, relaxed, DFT PBE-GGA
# - Crystal system: trigonal
# - Formation energy from raw total energies: -78.5 kJ/mol of atoms
data_Tb3Tl4GeTe8
_chemical_formula_sum 'Tb9 Tl12 Ge3 Te24'
_symmetry_space_group_name_H-M 'R -3 m'
_symmetry_Int_Tables_number 166
_symmetry_space_group_name_Hall '-R 3 2"'
_cell_length_a 8.9196
_cell_length_b 8.9196
_cell_length_c 23.9026
_cell_angle_alpha 90.00
_cell_angle_beta 90.00
_cell_angle_gamma 120.00
loop_
_atom_site_label
_atom_site_type_symbol
_atom_site_fract_x
_atom_site_fract_y
_atom_site_fract_z
Tb1 Tb 0.0000 0.5000 0.0000
Tl1 Tl 0.0000 0.0000 0.5000
Tl2 Tl 0.0000 0.5000 0.5000
Ge1 Ge 0.0000 0.0000 0.0000
Te1 Te 0.0000 0.0000 0.2604
Te2 Te 0.0059 0.5030 0.7370

---

# 5
# TbTlGeTe3, relaxed, DFT PBE-GGA
# - Crystal system: monoclinic
# - Formation energy from raw total energies: -68.5 kJ/mol of atoms
data_TbTlGeTe3
_chemical_formula_sum 'Tb2 Tl2 Ge2 Te6'
_symmetry_space_group_name_H-M 'P 1 21/m 1'
_symmetry_Int_Tables_number 11
_symmetry_space_group_name_Hall '-P 2yb'
_cell_length_a 8.947
_cell_length_b 4.281
_cell_length_c 11.607
_cell_angle_alpha 90.00
_cell_angle_beta 107.36
_cell_angle_gamma 90.00
loop_
_atom_site_label
_atom_site_type_symbol
_atom_site_fract_x
_atom_site_fract_y
_atom_site_fract_z
Tb1 Tb 0.140 0.250 0.160
Tl1 Tl 0.257 0.750 0.714
Ge1 Ge 0.378 0.750 0.446
Te1 Te 0.121 0.250 0.890
Te2 Te 0.162 0.250 0.433
Te3 Te 0.403 0.750 0.218

---

# 6
# TbYGeTe, relaxed, DFT PBE-GGA
# - Crystal system: trigonal
# - Formation energy from raw total energies: -109.8 kJ/mol of atoms
data_TbYGeTe
_chemical_formula_sum 'Tb3 Y3 Ge3 Te3'
_symmetry_space_group_name_H-M 'R 3 m'
_symmetry_Int_Tables_number 160
_symmetry_space_group_name_Hall 'R 3 -2"'
_cell_length_a 4.2368
_cell_length_b 4.2368
_cell_length_c 21.8194
_cell_angle_alpha 90.00
_cell_angle_beta 90.00
_cell_angle_gamma 120.00
loop_
_atom_site_label
_atom_site_type_symbol
_atom_site_fract_x
_atom_site_fract_y
_atom_site_fract_z
Tb1 Tb 0.0000 0.0000 0.0000
Y1 Y 0.0000 0.0000 0.1897
Ge1 Ge 0.0000 0.0000 0.5964
Te1 Te 0.0000 0.0000 0.4274

---

no.,total magnetization (μB per cell)
1,0.00
2,0.00
3,0.00
4,0.00
5,0.00
6,0.00